# 1
Entry from the Alexandria database: crystalline NbBTe2Au at its relaxed geometry (GGA-PBE).

Cell lengths 5.3903, 4.3245, 5.3903 Å; angles 90.00, 90.00, 90.00 degrees
Positions (direct):
1 B 0.0000 0.5000 0.0000
2 Nb 0.0000 0.0000 0.0000
3 Te 0.0000 0.0000 0.5000
4 Te 0.5000 0.0000 0.0000
5 Au 0.5000 0.5000 0.5000

Properties
* space group: P4/mmm, No. 123
* total DFT energy (no corrections): -22.49 eV per cell
* E_form (uncorrected): 0.764 eV/atom

# 2
Entry from the Alexandria database: crystalline Y2NbBAu at its relaxed geometry (GGA-PBE).

Cell lengths 5.4627, 4.9613, 5.4627 Å; angles 90.00, 90.00, 90.00 degrees
Site moments in Bohr magnetons follow the coordinates.
Positions (direct):
1 Au 0.0000 0.0000 0.0000  -0.01
2 Nb 0.0000 0.5000 0.0000  1.08
3 Y 0.0000 0.0000 0.5000  -0.01
4 B 0.5000 0.5000 0.5000  -0.09
5 Y 0.5000 0.0000 0.0000  -0.01

Properties
* space group: P4/mmm, No. 123
* total DFT energy (no corrections): -26.58 eV per cell

# 3
Entry from the Alexandria database: crystalline NbZn2BAu at its relaxed geometry (GGA-PBE).

Cell lengths 4.6413, 5.2259, 4.6413 Å; angles 90.00, 90.00, 90.00 degrees
Positions (direct):
1 Nb 0.0000 0.5000 0.0000
2 Zn 0.5000 0.0000 0.0000
3 Au 0.0000 0.0000 0.0000
4 B 0.5000 0.5000 0.5000
5 Zn 0.0000 0.0000 0.5000

Properties
* space group: P4/mmm, No. 123
* total DFT energy (no corrections): -15.00 eV per cell

Question: Look up the total DFT energy (no corrections) of the second one.
Answer: -26.58 eV per cell

Question: What is the formula in the second record?
Answer: Y2NbBAu

Question: Which of these has the lowest total DFT energy (no corrections)?
Answer: Y2NbBAu

Question: Among the records above, which one has the lowest total DFT energy (no corrections)?
Answer: Y2NbBAu